DFT (PBE) results for a relaxed structure of LaZn6Ni12.

a = 6.659 Å, b = 6.659 Å, c = 6.659 Å
α = 104.51°, β = 104.51°, γ = 104.51°
Fractional positions:
La1 0.000 0.000 0.000
Zn1 0.708 0.287 0.287
Zn2 0.287 0.287 0.708
Zn3 0.287 0.708 0.287
Zn4 0.713 0.713 0.292
Zn5 0.292 0.713 0.713
Zn6 0.713 0.292 0.713
Ni1 0.890 0.110 0.500
Ni2 0.868 0.620 0.620
Ni3 0.620 0.620 0.868
Ni4 0.380 0.132 0.380
Ni5 0.380 0.380 0.132
Ni6 0.132 0.380 0.380
Ni7 0.110 0.500 0.890
Ni8 0.500 0.890 0.110
Ni9 0.110 0.890 0.500
Ni10 0.890 0.500 0.110
Ni11 0.500 0.110 0.890
Ni12 0.620 0.868 0.620

Values from the calculation:
raw total energy	-82.0	eV for the cell shown
formation enthalpy at 0 K	0.00	eV/atom
DOS at the Fermi energy	1.00	states/eV/atom

DFT (PBE) results for a relaxed structure of Sm6PuTl5.

a = 5.490 Å, b = 7.674 Å, c = 9.512 Å
α = 113.79°, β = 106.77°, γ = 90.00°
Each line ends with the local moment (μB).
Fractional positions:
Tl1 0.658 0.158 0.316  -0.02
Tl2 0.333 0.333 0.666  0.03
Tl3 0.000 0.500 0.000  -0.03
Tl4 0.667 0.667 0.334  0.03
Tl5 0.342 0.842 0.684  -0.02
Sm1 0.832 0.582 0.665  0.19
Sm2 0.832 0.083 0.665  0.19
Sm3 0.500 0.746 0.000  0.25
Sm4 0.500 0.254 0.000  0.25
Sm5 0.168 0.917 0.335  0.19
Sm6 0.168 0.418 0.335  0.19
Pu1 0.000 0.000 0.000  5.93

Values from the calculation:
raw total energy	-57.7	eV for the cell shown
formation enthalpy at 0 K	-0.27	eV/atom
DOS at the Fermi energy	1.58	states/eV/atom

DFT (PBE) results for a relaxed structure of AlBTe2.

a = 7.652 Å, b = 7.652 Å, c = 7.652 Å
α = 35.43°, β = 35.43°, γ = 35.43°
Fractional positions:
B1 0.000 0.000 0.000
Te1 0.905 0.905 0.905
Te2 0.095 0.095 0.095
Al1 0.500 0.500 0.500

Values from the calculation:
raw total energy	-14.4	eV for the cell shown
polymorph energy (0 for the lowest one)	144	meV/atom
DOS at the Fermi energy	0.00	states/eV/atom

DFT (PBE) results for a relaxed structure of CaSi2NiOs.

a = 4.005 Å, b = 4.005 Å, c = 5.812 Å
α = 110.15°, β = 110.15°, γ = 90.00°
Fractional positions:
Ca1 0.000 0.000 0.000
Si1 0.626 0.626 0.252
Si2 0.374 0.374 0.748
Ni1 0.250 0.750 0.500
Os1 0.750 0.250 0.500

Values from the calculation:
raw total energy	-32.9	eV for the cell shown
polymorph energy (0 for the lowest one)	0	meV/atom
DOS at the Fermi energy	0.39	states/eV/atom

DFT (PBE) results for a relaxed structure of Pr2Y7Ho2.

a = 8.535 Å, b = 6.651 Å, c = 6.651 Å
α = 88.73°, β = 81.40°, γ = 81.40°
Fractional positions:
Pr1 0.864 0.391 0.391
Pr2 0.136 0.609 0.609
Y1 0.194 0.099 0.501
Y2 0.806 0.499 0.901
Y3 0.806 0.901 0.499
Y4 0.194 0.501 0.099
Y5 0.000 0.000 0.000
Y6 0.477 0.690 0.690
Y7 0.523 0.310 0.310
Ho1 0.500 0.182 0.818
Ho2 0.500 0.818 0.182

Values from the calculation:
raw total energy	-62.0	eV for the cell shown
polymorph energy (0 for the lowest one)	22	meV/atom
formation enthalpy at 0 K	0.18	eV/atom
DOS at the Fermi energy	1.42	states/eV/atom

DFT (PBE) results for a relaxed structure of Li3La2Pt4.

a = 5.624 Å, b = 7.760 Å, c = 8.159 Å
α = 90.00°, β = 110.16°, γ = 90.00°
Fractional positions:
Li1 0.000 0.000 0.000
Li2 0.500 0.500 0.000
Li3 0.532 0.750 0.563
Li4 0.968 0.250 0.437
Li5 0.468 0.250 0.437
Li6 0.032 0.750 0.563
La1 0.114 0.584 0.227
La2 0.886 0.416 0.773
La3 0.386 0.084 0.773
La4 0.614 0.916 0.227
Pt1 0.697 0.750 0.894
Pt2 0.803 0.250 0.106
Pt3 0.303 0.250 0.106
Pt4 0.197 0.750 0.894
Pt5 0.178 0.968 0.355
Pt6 0.822 0.032 0.645
Pt7 0.322 0.468 0.645
Pt8 0.678 0.532 0.355

Values from the calculation:
raw total energy	-94.6	eV for the cell shown
formation enthalpy at 0 K	-0.84	eV/atom
DOS at the Fermi energy	0.49	states/eV/atom

DFT (PBE) results for a relaxed structure of LaYAgHg.

a = 3.737 Å, b = 3.737 Å, c = 7.704 Å
α = 90.00°, β = 90.00°, γ = 90.00°
Each line ends with the local moment (μB).
Fractional positions:
La1 0.500 0.500 0.110  0.09
Y1 0.500 0.500 0.600  0.00
Ag1 0.000 0.000 0.382  0.00
Hg1 0.000 0.000 0.836  0.00

Values from the calculation:
raw total energy	-16.1	eV for the cell shown
polymorph energy (0 for the lowest one)	0	meV/atom
formation enthalpy at 0 K	-0.39	eV/atom
DOS at the Fermi energy	1.03	states/eV/atom

DFT (PBE) results for a relaxed structure of Sn2AuS2.

a = 7.769 Å, b = 7.769 Å, c = 3.864 Å
α = 90.00°, β = 90.00°, γ = 90.00°
Fractional positions:
S1 0.323 0.823 0.000
S2 0.823 0.677 0.000
S3 0.677 0.177 0.000
S4 0.177 0.323 0.000
Au1 0.000 0.000 0.000
Au2 0.500 0.500 0.000
Sn1 0.158 0.658 0.500
Sn2 0.658 0.842 0.500
Sn3 0.842 0.342 0.500
Sn4 0.342 0.158 0.500

Values from the calculation:
raw total energy	-39.2	eV for the cell shown
polymorph energy (0 for the lowest one)	52	meV/atom
DOS at the Fermi energy	0.48	states/eV/atom